Entry 1:
The following is a DFT calculation (PBE) of crystalline CrCd2Ru at its relaxed geometry.

Output
* energy relative to the elements: 390 meV/atom
* Fermi-level density of states: 1.28 states/eV per atom
* relative energy among the computed polymorphs: 0.228 eV/atom
* total magnetization: 0.72 μB/atom
* crystal system: tetragonal
* space-group type: I4/mmm, No. 139

abc: 5.1494 5.1494 5.1494
angles: 134.38 134.38 66.50
Positions (direct):
Cr 0.0000 0.0000 0.0000
Cd 0.2500 0.7500 0.5000
Cd 0.7500 0.2500 0.5000
Ru 0.5000 0.5000 0.0000



Entry 2:
The following is a DFT calculation (PBE) of crystalline Ti3HRh at its relaxed geometry.

Output
* Fermi-level density of states: 1.35 states/eV per atom
* relative energy among the computed polymorphs: 0.000 eV/atom
* total magnetization: 0.00 μB/atom
* crystal system: cubic
* space-group type: Pm-3m, No. 221

abc: 4.0300 4.0300 4.0300
angles: 90.00 90.00 90.00
Positions (direct):
Ti 0.0000 0.0000 0.5000
Ti 0.0000 0.5000 0.0000
Ti 0.5000 0.0000 0.0000
H 0.0000 0.0000 0.0000
Rh 0.5000 0.5000 0.5000



Entry 3:
The following is a DFT calculation (PBE) of crystalline Li4YW at its relaxed geometry.

Output
* energy relative to the elements: 543 meV/atom
* Fermi-level density of states: 1.01 states/eV per atom
* total magnetization: 0.40 μB/atom
* crystal system: cubic
* space-group type: F-43m, No. 216

abc: 5.3360 5.3360 5.3360
angles: 60.00 60.00 60.00
Positions (direct):
Li 0.1222 0.1222 0.1222
Li 0.1222 0.1222 0.6333
Li 0.1222 0.6333 0.1222
Li 0.6333 0.1222 0.1222
Y 0.5000 0.5000 0.5000
W 0.7500 0.7500 0.7500



Entry 4:
The following is a DFT calculation (PBE) of crystalline ScHRu2 at its relaxed geometry.

Output
* Fermi-level density of states: 0.68 states/eV per atom
* relative energy among the computed polymorphs: 0.000 eV/atom
* total magnetization: 0.00 μB/atom
* crystal system: tetragonal
* space-group type: I-42d, No. 122

abc: 5.3882 5.3882 5.3882
angles: 119.47 119.47 90.91
Positions (direct):
Sc 0.0000 0.0000 0.0000
Sc 0.7500 0.2500 0.5000
H 0.2500 0.7500 0.5000
H 0.5000 0.5000 0.0000
Ru 0.3304 0.1250 0.7054
Ru 0.3750 0.6696 0.7946
Ru 0.4196 0.6250 0.2946
Ru 0.8750 0.5804 0.2054



Question: total magnetization of number 4 (ScHRu2)?
Answer: 0.00 μB/atom



Question: Among the records above, which one has the lowest Fermi-level density of states?
Answer: ScHRu2